1.
DFT (PBE-GGA) results for a relaxed structure of Ta2AgPb.

The structure in POSCAR format:
```
Ta2AgPb
1.0
3.649 0.000 0.000
0.000 3.649 0.000
0.000 0.000 5.870
Ta Ag Pb
2 1 1
direct
0.000 0.000 0.246
0.000 0.000 0.754
0.500 0.500 0.000
0.500 0.500 0.500
```

Computed properties:
The calculation puts the formation energy at 648 meV per atom. Its energy is -6.918 eV per atom. For the density of states at the Fermi level, the calculation gives 3.05 states/eV per cell.

=====

2.
DFT (PBE-GGA) results for a relaxed structure of HoSb2Pd2.

The structure in POSCAR format:
```
HoSb2Pd2
1.0
4.637 0.000 0.000
0.000 4.538 0.000
-2.298 0.000 10.866
Ho Sb Pd
2 4 4
direct
0.175 0.250 0.306
0.825 0.750 0.694
0.251 0.250 0.999
0.297 0.250 0.645
0.703 0.750 0.355
0.749 0.750 0.001
0.288 0.750 0.508
0.300 0.750 0.143
0.700 0.250 0.857
0.712 0.250 0.492
```

Computed properties:
The value obtained for the energy relative to the elements, uncorrected is -0.71 eV per atom. Its energy is -5.353 eV per atom. For the density of states at the Fermi level, the calculation gives 4.10 states/eV per cell.

=====

3.
DFT (PBE-GGA) results for a relaxed structure of NdYTmCd.

The structure in POSCAR format:
```
NdYTmCd
1.0
3.620 0.000 0.000
0.000 3.620 0.000
0.000 0.000 9.036
Nd Y Tm Cd
1 1 1 1
direct
0.000 0.000 0.000
0.500 0.500 0.715
0.500 0.500 0.277
0.000 0.000 0.491
```

Computed properties:
The energy relative to the lowest polymorph listed for this composition is 0 meV/atom. The calculation puts the formation energy at -157 meV per atom. Its energy is -4.311 eV per atom. For the density of states at the Fermi level, the calculation gives 4.19 states/eV per cell.

=====

4.
DFT (PBE-GGA) results for a relaxed structure of LaCd2Cl.

The structure in POSCAR format:
```
LaCd2Cl
1.0
3.605 0.000 0.000
0.000 3.605 0.000
0.000 0.000 8.840
La Cd Cl
1 2 1
direct
0.000 0.000 0.000
0.000 0.000 0.441
0.500 0.500 0.263
0.500 0.500 0.822
```

Computed properties:
The energy relative to the lowest polymorph listed for this composition is 19 meV/atom. The value obtained for the energy relative to the elements, uncorrected is -0.73 eV per atom. Its energy is -2.881 eV per atom. For the density of states at the Fermi level, the calculation gives 2.39 states/eV per cell.

=====

5.
DFT (PBE-GGA) results for a relaxed structure of K2TcPb.

The structure in POSCAR format:
```
K2TcPb
1.0
3.762 0.000 0.000
0.000 3.762 0.000
0.000 0.000 10.247
K Tc Pb
2 1 1
direct
0.000 0.000 0.000
0.500 0.500 0.406
0.500 0.500 0.737
0.000 0.000 0.668
```

Computed properties:
The calculation puts the formation energy at 601 meV per atom. Its energy is -3.466 eV per atom. For the density of states at the Fermi level, the calculation gives 3.21 states/eV per cell.

=====

6.
DFT (PBE-GGA) results for a relaxed structure of BaTbSn.

The structure in POSCAR format:
```
BaTbSn
1.0
5.064 0.000 0.000
0.000 5.064 0.000
0.000 0.000 8.873
Ba Tb Sn
2 2 2
direct
0.250 0.250 0.147
0.750 0.750 0.853
0.250 0.750 0.500
0.750 0.250 0.500
0.250 0.250 0.726
0.750 0.750 0.274
```

Computed properties:
The calculation puts the formation energy at -567 meV per atom. Its energy is -4.085 eV per atom. For the density of states at the Fermi level, the calculation gives 3.30 states/eV per cell.